# RbGaCoF6

A geometry-optimized RbGaCoF6 structure (GGA+U, Alexandria).

abc: 7.277 7.421 7.369
angles: 120.23 119.59 90.00
Site moments in Bohr magnetons follow the coordinates.
Fractional coordinates of all 18 atoms:
Rb 0.885 0.635 0.771  0.00
Rb 0.115 0.365 0.229  0.00
Ga 0.500 0.500 0.000  0.01
Ga 0.500 0.000 0.000  0.01
Co 0.500 0.000 0.500  2.79
Co 0.000 0.000 0.500  2.79
F 0.441 0.691 0.882  0.00
F 0.831 0.081 0.662  0.06
F 0.810 0.079 0.245  0.02
F 0.435 0.666 0.245  0.02
F 0.435 0.079 0.245  0.02
F 0.810 0.666 0.245  0.02
F 0.559 0.309 0.118  0.00
F 0.169 0.919 0.338  0.06
F 0.190 0.921 0.755  0.02
F 0.565 0.334 0.755  0.02
F 0.565 0.921 0.755  0.02
F 0.190 0.334 0.755  0.02

Output
**Crystal system**: orthorhombic

---

# RbGaCo2F8

A geometry-optimized RbGaCo2F8 structure (GGA+U, Alexandria).

abc: 5.119 5.118 7.360
angles: 77.98 78.00 75.78
Site moments in Bohr magnetons follow the coordinates.
Fractional coordinates of all 12 atoms:
Rb 0.000 0.000 0.500  0.00
Ga 0.000 0.000 0.000  0.02
Co 0.440 0.440 0.733  2.78
Co 0.560 0.560 0.267  2.78
F 0.196 0.754 0.191  0.03
F 0.758 0.760 0.040  0.03
F 0.755 0.196 0.191  0.03
F 0.804 0.246 0.809  0.03
F 0.242 0.240 0.960  0.03
F 0.245 0.804 0.809  0.03
F 0.654 0.655 0.491  0.07
F 0.346 0.345 0.509  0.07

Output
**Crystal system**: monoclinic

---

| no. | electronic total energy (eV for the cell shown) |
| --- | --- |
| 1 | -86.7 |
| 2 | -57.5 |